# 1
An optimized crystal structure of Ho2ErPuO8. Source: the Alexandria database, functional PBE-GGA.

Properties
**Space group**: Cmmm, No. 65
**Total DFT energy (no corrections)**: -8.75 eV/atom
**E_form (uncorrected)**: -3109 meV per atom

a b c (Å): 5.066 5.066 6.920
angles (deg): 90.00 90.00 91.06
Fractional positions:
Ho 0.000 0.000 0.240
Ho 0.000 0.000 0.760
Er 0.500 0.500 0.000
Pu 0.500 0.500 0.500
O 0.193 0.193 0.000
O 0.219 0.219 0.500
O 0.316 0.684 0.276
O 0.316 0.684 0.724
O 0.684 0.316 0.276
O 0.684 0.316 0.724
O 0.781 0.781 0.500
O 0.807 0.807 0.000



# 2
An optimized crystal structure of Rb3Ho2ErO6. Source: the Alexandria database, functional PBE-GGA.

Properties
**Space group**: C2/m, No. 12
**Total DFT energy (no corrections)**: -6.58 eV/atom
**E_form (uncorrected)**: -2716 meV per atom

a b c (Å): 6.038 6.038 6.856
angles (deg): 98.44 98.44 120.00
Fractional positions:
Rb 0.000 0.000 0.000
Rb 0.333 0.667 0.000
Rb 0.667 0.333 0.000
Ho 0.167 0.833 0.500
Ho 0.833 0.167 0.500
Er 0.500 0.500 0.500
O 0.110 0.442 0.326
O 0.226 0.226 0.674
O 0.442 0.110 0.326
O 0.558 0.890 0.674
O 0.774 0.774 0.326
O 0.890 0.558 0.674



# 3
An optimized crystal structure of Ho2ErReO8. Source: the Alexandria database, functional PBE-GGA.

Properties
**Space group**: Cmmm, No. 65
**Total DFT energy (no corrections)**: -8.30 eV/atom
**E_form (uncorrected)**: -2811 meV per atom

a b c (Å): 5.023 5.023 6.698
angles (deg): 90.00 90.00 90.80
Fractional positions:
Ho 0.000 0.000 0.247
Ho 0.000 0.000 0.753
Er 0.500 0.500 0.000
Re 0.500 0.500 0.500
O 0.194 0.194 0.000
O 0.231 0.231 0.500
O 0.318 0.682 0.291
O 0.318 0.682 0.709
O 0.682 0.318 0.291
O 0.682 0.318 0.709
O 0.769 0.769 0.500
O 0.806 0.806 0.000



# 4
An optimized crystal structure of HoErSe2O. Source: the Alexandria database, functional PBE-GGA.

Properties
**Space group**: P4/nmm, No. 129
**Total DFT energy (no corrections)**: -6.63 eV/atom
**E_form (uncorrected)**: -2412 meV per atom

a b c (Å): 3.937 3.937 14.471
angles (deg): 90.00 90.00 90.00
Fractional positions:
Ho 0.250 0.250 0.075
Ho 0.750 0.750 0.925
Er 0.250 0.250 0.629
Er 0.750 0.750 0.371
Se 0.250 0.250 0.412
Se 0.250 0.250 0.809
Se 0.750 0.750 0.191
Se 0.750 0.750 0.588
O 0.250 0.750 0.000
O 0.750 0.250 0.000